The following is a DFT calculation (GGA-PBE) of BaPr2Sm3Te6 after structural relaxation.

Calculated values
Formation energy from raw total energies   -1447 meV per atom
Space-group type   No. 12
DFT total energy   -5.15 eV per atom

a = 4.526 Å, b = 9.195 Å, c = 10.205 Å
α = 103.78°, β = 102.81°, γ = 90.00°
Element x y z (fractional)
Te (0.002, 0.268, 0.004)
Te (0.326, 0.919, 0.651)
Te (0.674, 0.081, 0.349)
Pr (0.828, 0.655, 0.656)
Te (0.663, 0.586, 0.326)
Pr (0.172, 0.345, 0.344)
Sm (0.836, 0.179, 0.673)
Ba (0.500, 0.000, 0.000)
Te (0.337, 0.414, 0.674)
Sm (0.500, 0.500, 0.000)
Sm (0.164, 0.821, 0.327)
Te (0.998, 0.732, 0.996)

---

The following is a DFT calculation (GGA-PBE) of BaPr2SmTl4 after structural relaxation.

Calculated values
Space-group type   No. 166
DFT total energy   -3.54 eV per atom
E_form   -328 meV/atom

a = 5.649 Å, b = 5.649 Å, c = 9.853 Å
α = 73.34°, β = 73.34°, γ = 60.00°
Element x y z (fractional)
Pr (0.749, 0.749, 0.753)
Tl (0.383, 0.383, 0.852)
Pr (0.251, 0.251, 0.247)
Tl (0.129, 0.129, 0.612)
Tl (0.871, 0.871, 0.388)
Tl (0.617, 0.617, 0.148)
Sm (0.500, 0.500, 0.500)
Ba (0.000, 0.000, 0.000)